Record 1
## Sm6Sb2Te3S (PBE-GGA)

Data for crystalline Sm6Sb2Te3S at its relaxed geometry.

DOS at the Fermi energy in states/eV/atom: 0.2665
ρ in kg/m3: 7205
Formation energy from raw total energies in meV/atom: -1440
V in Å³ per cell: 359.7
M_tot in Bohr magnetons per cell: 0.0
SG: No. 12

a = 9.8825 Å, b = 9.8825 Å, c = 8.8281 Å
α = 103.75°, β = 103.75°, γ = 25.48°
With the nearest neighbours (Å) after each atom.
Fractional positions:
Sm: 0.9996 0.9996 0.2158  2 S 2.90, 1 Sb 3.12, 1 Te 3.22
Sm: 0.0004 0.0004 0.7842  2 S 2.90, 1 Sb 3.12, 1 Te 3.22
Sm: 0.3330 0.3330 0.4223  3 Sb 3.08-3.13, 3 Te 3.12-3.15
Sm: 0.3506 0.3506 0.9218  1 S 2.79, 2 Sb 3.08
Sm: 0.6494 0.6494 0.0782  1 S 2.79, 2 Sb 3.08
Sm: 0.6670 0.6670 0.5777  3 Sb 3.08-3.13, 3 Te 3.12-3.15
Sb: 0.1658 0.1658 0.3313  6 Sm 3.08-3.13
Sb: 0.8342 0.8342 0.6687  6 Sm 3.08-3.13
Te: 0.1716 0.1716 0.8373  6 Sm 3.15-3.35
Te: 0.5000 0.5000 0.5000  6 Sm 3.12-3.32
Te: 0.8284 0.8284 0.1627  6 Sm 3.15-3.35
S: 0.5000 0.5000 0.0000  6 Sm 2.79-2.90

Record 2
## Sm4SbTe2S (PBE-GGA)

Data for crystalline Sm4SbTe2S at its relaxed geometry.

DOS at the Fermi energy in states/eV/atom: 0.4564
ρ in kg/m3: 7178
Formation energy from raw total energies in meV/atom: -1492
V in Å³ per cell: 233.8
M_tot in Bohr magnetons per cell: 0.0
SG: No. 10

a = 7.5071 Å, b = 4.3042 Å, c = 7.6474 Å
α = 90.00°, β = 108.91°, γ = 90.00°
With the nearest neighbours (Å) after each atom.
Fractional positions:
Sm: 0.2215 0.0000 0.2164  2 S 2.89, 1 Sb 3.06, 1 Te 3.13
Sm: 0.2377 0.5000 0.7731  1 S 2.86, 2 Sb 3.05, 2 Te 3.12
Sm: 0.7623 0.5000 0.2269  1 S 2.86, 2 Sb 3.05, 2 Te 3.12
Sm: 0.7785 0.0000 0.7836  2 S 2.89, 1 Sb 3.06, 1 Te 3.13
Sb: 0.5000 0.0000 0.0000  6 Sm 3.05-3.06
Te: 0.0000 0.0000 0.5000  6 Sm 3.12-3.13
Te: 0.5000 0.5000 0.5000  6 Sm 3.28-3.30
S: 0.0000 0.5000 0.0000  6 Sm 2.86-2.89

Record 3
## Sm3Tl4SbS8 (PBE-GGA)

Data for crystalline Sm3Tl4SbS8 at its relaxed geometry.

ρ in kg/m3: 6239
Formation energy from raw total energies in meV/atom: -1181
V in Å³ per cell: 438.3
M_tot in Bohr magnetons per cell: 0.0
SG: No. 166

a = 8.8588 Å, b = 8.8588 Å, c = 8.8588 Å
α = 55.33°, β = 55.33°, γ = 55.33°
With the nearest neighbours (Å) after each atom.
Fractional positions:
Sm: 0.0000 0.5000 0.5000  6 S 2.82
Sm: 0.5000 0.0000 0.5000  6 S 2.82
Sm: 0.5000 0.5000 0.0000  6 S 2.82
Tl: 0.0000 0.0000 0.5000  6 S 3.25
Tl: 0.0000 0.5000 0.0000  6 S 3.25
Tl: 0.5000 0.0000 0.0000  6 S 3.25
Tl: 0.5000 0.5000 0.5000  6 S 3.28
Sb: 0.0000 0.0000 0.0000  6 S 2.79
S: 0.2318 0.2318 0.7375  1 Sb 2.79, 2 Sm 2.82
S: 0.2318 0.7375 0.2318  1 Sb 2.79, 2 Sm 2.82
S: 0.2625 0.7682 0.7682  1 Sb 2.79, 2 Sm 2.82
S: 0.2658 0.2658 0.2658  3 Sm 2.82
S: 0.7342 0.7342 0.7342  3 Sm 2.82
S: 0.7375 0.2318 0.2318  1 Sb 2.79, 2 Sm 2.82
S: 0.7682 0.2625 0.7682  1 Sb 2.79, 2 Sm 2.82
S: 0.7682 0.7682 0.2625  1 Sb 2.79, 2 Sm 2.82

Record 4
## Sm3Tl3SbS8 (PBE-GGA)

Data for crystalline Sm3Tl3SbS8 at its relaxed geometry.

DOS at the Fermi energy in states/eV/atom: 0.1767
ρ in kg/m3: 5494
Formation energy from raw total energies in meV/atom: -1186
V in Å³ per cell: 436.0
M_tot in Bohr magnetons per cell: 0.0
SG: No. 166

a = 8.9389 Å, b = 8.9389 Å, c = 8.9389 Å
α = 54.14°, β = 54.14°, γ = 54.14°
With the nearest neighbours (Å) after each atom.
Fractional positions:
Sm: 0.0000 0.5000 0.5000  6 S 2.80-2.82
Sm: 0.5000 0.0000 0.5000  6 S 2.80-2.82
Sm: 0.5000 0.5000 0.0000  6 S 2.80-2.82
Tl: 0.0000 0.0000 0.5000  6 S 3.27
Tl: 0.0000 0.5000 0.0000  6 S 3.27
Tl: 0.5000 0.0000 0.0000  6 S 3.27
Sb: 0.0000 0.0000 0.0000  6 S 2.67
S: 0.2223 0.2223 0.7484  1 Sb 2.67, 2 Sm 2.82
S: 0.2223 0.7484 0.2223  1 Sb 2.67, 2 Sm 2.82
S: 0.2516 0.7777 0.7777  1 Sb 2.67, 2 Sm 2.82
S: 0.2662 0.2662 0.2662  3 Sm 2.80
S: 0.7338 0.7338 0.7338  3 Sm 2.80
S: 0.7484 0.2223 0.2223  1 Sb 2.67, 2 Sm 2.82
S: 0.7777 0.2516 0.7777  1 Sb 2.67, 2 Sm 2.82
S: 0.7777 0.7777 0.2516  1 Sb 2.67, 2 Sm 2.82

Record 5
## Sm2Tl3SbS6 (PBE-GGA)

Data for crystalline Sm2Tl3SbS6 at its relaxed geometry.

ρ in kg/m3: 6232
Formation energy from raw total energies in meV/atom: -1087
V in Å³ per cell: 327.2
M_tot in Bohr magnetons per cell: 0.0
SG: No. 12

a = 7.1154 Å, b = 7.1154 Å, c = 7.8312 Å
α = 98.71°, β = 98.71°, γ = 120.00°
With the nearest neighbours (Å) after each atom.
Fractional positions:
Sm: 0.1666 0.8334 0.0000  6 S 2.82-2.83
Sm: 0.8334 0.1666 0.0000  6 S 2.82-2.83
Tl: 0.0000 0.0000 0.5000  6 S 3.25-3.27
Tl: 0.3317 0.6683 0.5000  6 S 3.25-3.27
Tl: 0.6683 0.3317 0.5000  6 S 3.25-3.27
Sb: 0.5000 0.5000 0.0000  6 S 2.78-2.79
S: 0.1042 0.4331 0.7993  1 Sb 2.78, 2 Sm 2.82
S: 0.2386 0.2386 0.2030  1 Sb 2.79, 2 Sm 2.83
S: 0.4331 0.1042 0.7993  1 Sb 2.78, 2 Sm 2.82
S: 0.5669 0.8958 0.2007  1 Sb 2.78, 2 Sm 2.82
S: 0.7614 0.7614 0.7970  1 Sb 2.79, 2 Sm 2.83
S: 0.8958 0.5669 0.2007  1 Sb 2.78, 2 Sm 2.82

Record 6
## SnSb2S6 (PBE-GGA)

Data for crystalline SnSb2S6 at its relaxed geometry.

DOS at the Fermi energy in states/eV/atom: 0.5776
ρ in kg/m3: 4114
Formation energy from raw total energies in meV/atom: -32
V in Å³ per cell: 447.7
M_tot in Bohr magnetons per cell: 0.0
SG: No. 136

a = 6.1177 Å, b = 6.1177 Å, c = 11.9617 Å
α = 90.00°, β = 90.00°, γ = 90.00°
With the nearest neighbours (Å) after each atom.
Fractional positions:
Sn: 0.0000 0.0000 0.0000  6 S 2.59-2.64
Sn: 0.5000 0.5000 0.5000  6 S 2.59-2.64
Sb: 0.0000 0.0000 0.3341  6 S 2.60-2.66
Sb: 0.0000 0.0000 0.6659  6 S 2.60-2.66
Sb: 0.5000 0.5000 0.1659  6 S 2.60-2.66
Sb: 0.5000 0.5000 0.8341  6 S 2.60-2.66
S: 0.1928 0.1928 0.1654  1 Sn 2.59, 2 Sb 2.62-2.66
S: 0.1928 0.1928 0.8346  1 Sn 2.59, 2 Sb 2.62-2.66
S: 0.1949 0.1949 0.5000  2 Sb 2.60, 1 Sn 2.64
S: 0.3051 0.6949 0.0000  2 Sb 2.60, 1 Sn 2.64
S: 0.3072 0.6928 0.3346  1 Sn 2.59, 2 Sb 2.62-2.66
S: 0.3072 0.6928 0.6654  1 Sn 2.59, 2 Sb 2.62-2.66
S: 0.6928 0.3072 0.3346  1 Sn 2.59, 2 Sb 2.62-2.66
S: 0.6928 0.3072 0.6654  1 Sn 2.59, 2 Sb 2.62-2.66
S: 0.6949 0.3051 0.0000  2 Sb 2.60, 1 Sn 2.64
S: 0.8051 0.8051 0.5000  2 Sb 2.60, 1 Sn 2.64
S: 0.8072 0.8072 0.1654  1 Sn 2.59, 2 Sb 2.62-2.66
S: 0.8072 0.8072 0.8346  1 Sn 2.59, 2 Sb 2.62-2.66

Record 7
## Sn2Sb2S5 (PBE-GGA)

Data for crystalline Sn2Sb2S5 at its relaxed geometry.

DOS at the Fermi energy in states/eV/atom: 0.0677
ρ in kg/m3: 4375
Formation energy from raw total energies in meV/atom: -173
V in Å³ per cell: 243.4
M_tot in Bohr magnetons per cell: 0.0
SG: No. 12

a = 8.7520 Å, b = 8.7520 Å, c = 5.5736 Å
α = 96.17°, β = 96.17°, γ = 35.01°
With the nearest neighbours (Å) after each atom.
Fractional positions:
Sn: 0.0864 0.0864 0.3432  1 S 2.61
Sn: 0.9136 0.9136 0.6568  1 S 2.61
Sb: 0.3468 0.3468 0.0805  4 S 2.46-2.65
Sb: 0.6532 0.6532 0.9195  4 S 2.46-2.65
S: 0.1666 0.1666 0.9683  1 Sn 2.61, 2 Sb 2.65
S: 0.3440 0.3440 0.5209  1 Sb 2.46
S: 0.5000 0.5000 0.0000  2 Sb 2.65
S: 0.6560 0.6560 0.4791  1 Sb 2.46
S: 0.8334 0.8334 0.0317  1 Sn 2.61, 2 Sb 2.65

Record 8
## Sn2SbS2 (PBE-GGA)

Data for crystalline Sn2SbS2 at its relaxed geometry.

DOS at the Fermi energy in states/eV/atom: 0.3527
ρ in kg/m3: 5140
Formation energy from raw total energies in meV/atom: -22
V in Å³ per cell: 273.5
M_tot in Bohr magnetons per cell: 0.0
SG: No. 127

a = 8.6650 Å, b = 8.6650 Å, c = 3.6430 Å
α = 90.00°, β = 90.00°, γ = 90.00°
With the nearest neighbours (Å) after each atom.
Fractional positions:
Sn: 0.2372 0.2628 0.0000  2 S 2.52
Sn: 0.2628 0.7628 0.0000  2 S 2.52
Sn: 0.7372 0.2372 0.0000  2 S 2.52
Sn: 0.7628 0.7372 0.0000  2 S 2.52
Sb: 0.0000 0.0000 0.0000  4 Sn 3.07
Sb: 0.5000 0.5000 0.0000  4 Sn 3.07
S: 0.1207 0.6207 0.5000  2 Sn 2.52
S: 0.3793 0.1207 0.5000  2 Sn 2.52
S: 0.6207 0.8793 0.5000  2 Sn 2.52
S: 0.8793 0.3793 0.5000  2 Sn 2.52

Record 9
## Sn2Sb2S7 (PBE-GGA)

Data for crystalline Sn2Sb2S7 at its relaxed geometry.

ρ in kg/m3: 3745
Formation energy from raw total energies in meV/atom: -114
V in Å³ per cell: 312.8
M_tot in Bohr magnetons per cell: 0.0
SG: No. 12

a = 7.1348 Å, b = 7.1348 Å, c = 6.3254 Å
α = 95.84°, β = 95.84°, γ = 100.30°
With the nearest neighbours (Å) after each atom.
Fractional positions:
Sn: 0.2448 0.2448 0.4061  4 S 2.40-2.51
Sn: 0.7552 0.7552 0.5939  4 S 2.40-2.51
Sb: 0.3065 0.6935 0.0000  6 S 2.65-2.94
Sb: 0.6935 0.3065 0.0000  6 S 2.65-2.94
S: 0.0000 0.0000 0.5000  2 Sn 2.40
S: 0.0773 0.4618 0.2327  1 Sn 2.40
S: 0.4119 0.4119 0.7615  1 Sn 2.51, 2 Sb 2.65
S: 0.4618 0.0773 0.2327  1 Sn 2.40
S: 0.5382 0.9227 0.7673  1 Sn 2.40
S: 0.5881 0.5881 0.2385  1 Sn 2.51, 2 Sb 2.65
S: 0.9227 0.5382 0.7673  1 Sn 2.40

Record 10
## SnSb2S (PBE-GGA)

Data for crystalline SnSb2S at its relaxed geometry.

DOS at the Fermi energy in states/eV/atom: 0.5430
ρ in kg/m3: 6759
Formation energy from raw total energies in meV/atom: 229
V in Å³ per cell: 96.9
M_tot in Bohr magnetons per cell: 0.0
SG: No. 225

a = 5.1551 Å, b = 5.1551 Å, c = 5.1551 Å
α = 60.00°, β = 60.00°, γ = 60.00°
With the nearest neighbours (Å) after each atom.
Fractional positions:
Sn: 0.0000 0.0000 0.0000  8 Sb 3.16
Sb: 0.2500 0.2500 0.2500  4 S 3.16, 4 Sn 3.16
Sb: 0.7500 0.7500 0.7500  4 S 3.16, 4 Sn 3.16
S: 0.5000 0.5000 0.5000  8 Sb 3.16

Record 11
## SnSbS3 (PBE-GGA)

Data for crystalline SnSbS3 at its relaxed geometry.

DOS at the Fermi energy in states/eV/atom: 0.0952
ρ in kg/m3: 3954
Formation energy from raw total energies in meV/atom: -200
V in Å³ per cell: 282.8
M_tot in Bohr magnetons per cell: 0.0
SG: No. 12

a = 9.1281 Å, b = 9.1281 Å, c = 8.3888 Å
α = 95.29°, β = 95.29°, γ = 23.98°
With the nearest neighbours (Å) after each atom.
Fractional positions:
Sn: 0.0767 0.0767 0.0856  3 S 2.50-2.72
Sn: 0.9233 0.9233 0.9144  3 S 2.50-2.72
Sb: 0.3784 0.3784 0.5060  3 S 2.44-2.58
Sb: 0.6216 0.6216 0.4940  3 S 2.44-2.58
S: 0.1823 0.1823 0.3410  2 Sb 2.58, 1 Sn 2.72
S: 0.3561 0.3561 0.0316  2 Sn 2.50
S: 0.4863 0.4863 0.7072  1 Sb 2.44
S: 0.5137 0.5137 0.2928  1 Sb 2.44
S: 0.6439 0.6439 0.9684  2 Sn 2.50
S: 0.8177 0.8177 0.6590  2 Sb 2.58, 1 Sn 2.72

Record 12
## SnSbS2 (PBE-GGA)

Data for crystalline SnSbS2 at its relaxed geometry.

DOS at the Fermi energy in states/eV/atom: 0.0866
ρ in kg/m3: 4761
Formation energy from raw total energies in meV/atom: -176
V in Å³ per cell: 106.2
M_tot in Bohr magnetons per cell: 0.0
SG: No. 6

a = 3.6041 Å, b = 5.4024 Å, c = 5.5063 Å
α = 90.00°, β = 97.75°, γ = 90.00°
With the nearest neighbours (Å) after each atom.
Fractional positions:
Sn: 0.0000 0.0000 0.0000  4 S 2.67-2.92
Sb: 0.3917 0.5000 0.5362  1 S 2.45
S: 0.2996 0.5000 0.0869  1 Sb 2.45
S: 0.4020 0.0000 0.6275  2 Sn 2.67-2.77, 2 Sb 2.75